BeVRhO4, optimized geometry, DFT PBE+U; electronic total energy = -7.155 eV per atom; crystal system = orthorhombic; total magnetization = 2.0 μB/f.u.
1.0
5.7818 0.0000 0.0000
2.8909 4.9710 0.0304
2.8909 1.5434 4.7255
O V Be Rh
8 2 2 2
Direct
0.2606 0.7464 0.2464
0.7423 0.7532 0.7622
0.2577 0.2468 0.2378
0.7394 0.2536 0.7536
0.2577 0.7378 0.7468
0.7423 0.2622 0.2532
0.2534 0.2536 0.7536
0.7466 0.7464 0.2464
0.5000 0.0000 0.5000
0.0000 0.0000 0.5000
0.6337 0.6163 0.1163
0.3663 0.3837 0.8837
0.0000 0.5000 0.5000
0.0000 0.0000 0.0000